Record 1
Here is a relaxed RbDy2AgS4 crystal from Alexandria. Energies are from PBE.

a = 4.0724 Å, b = 13.7643 Å, c = 14.2448 Å
α = 90.00°, β = 90.00°, γ = 90.00°
With the nearest neighbours (Å) after each atom.
Space group Cmcm (No. 63)
Unique sites:
Rb: 0.0000 0.1151 0.2500  6 S 3.17-3.42
Dy: 0.0000 0.3682 0.0646  6 S 2.74-2.88
Ag: 0.0000 0.1659 0.7500  4 S 2.49-2.51
S: 0.0000 0.0000 0.0000  4 Dy 2.88
S: 0.0000 0.2604 0.5992  1 Ag 2.51, 3 Dy 2.74-2.76
S: 0.0000 0.4384 0.2500  2 Ag 2.49

Output
Uncorrected formation energy (eV per atom): -1.58


Record 2
Here is a relaxed RbDyAgSe2 crystal from Alexandria. Energies are from PBE.

a = 7.9763 Å, b = 4.9784 Å, c = 8.0988 Å
α = 90.00°, β = 96.58°, γ = 90.00°
With the nearest neighbours (Å) after each atom.
Space group P2/c (No. 13)
Unique sites:
Rb: 0.0000 0.1013 0.2500  6 Se 3.54-3.61
Dy: 0.5000 0.4958 0.7500  4 Se 2.82
Ag: 0.5000 0.0000 0.0000  2 Se 2.73
Se: 0.2612 0.3954 0.9739  1 Ag 2.73, 2 Dy 2.82

Output
Uncorrected formation energy (eV per atom): -1.05


Record 3
Here is a relaxed RbDy2Ag2Se4 crystal from Alexandria. Energies are from PBE.

a = 15.3110 Å, b = 3.8996 Å, c = 8.5173 Å
α = 90.00°, β = 116.35°, γ = 90.00°
With the nearest neighbours (Å) after each atom.
Space group C2/m (No. 12)
Unique sites:
Rb: 0.0000 0.0000 0.0000  6 Se 3.24-3.38, 4 Ag 3.50
Dy: 0.1265 0.0000 0.5543  7 Se 2.86-3.16
Ag: 0.2005 0.5000 0.0474  2 Ag 2.80, 3 Se 2.87-2.88
Se: 0.0348 0.5000 0.7083  1 Ag 2.88, 4 Dy 3.02-3.16, 1 Se 3.22
Se: 0.2211 0.0000 0.3083  3 Dy 2.86-3.03, 2 Ag 2.87

Output
Uncorrected formation energy (eV per atom): -1.07


Record 4
Here is a relaxed RbDy2AgSe4 crystal from Alexandria. Energies are from PBE.

a = 4.2246 Å, b = 14.3223 Å, c = 14.8593 Å
α = 90.00°, β = 90.00°, γ = 90.00°
With the nearest neighbours (Å) after each atom.
Space group Cmcm (No. 63)
Unique sites:
Rb: 0.0000 0.1195 0.2500  6 Se 3.29-3.50
Dy: 0.0000 0.3690 0.0667  6 Se 2.87-2.99
Ag: 0.0000 0.1637 0.7500  4 Se 2.61-2.63
Se: 0.0000 0.0000 0.0000  4 Dy 2.99
Se: 0.0000 0.2620 0.6004  1 Ag 2.63, 3 Dy 2.87-2.92
Se: 0.0000 0.4429 0.2500  2 Ag 2.61

Output
Uncorrected formation energy (eV per atom): -1.46


Record 5
Here is a relaxed RbDy3Ag2Se6 crystal from Alexandria. Energies are from PBE.

a = 20.9928 Å, b = 4.2564 Å, c = 9.0390 Å
α = 90.00°, β = 113.11°, γ = 90.00°
With the nearest neighbours (Å) after each atom.
Space group C2/m (No. 12)
Unique sites:
Rb: 0.0000 0.0000 0.0000  6 Se 3.41-3.57
Dy: 0.0000 0.0000 0.5000  6 Se 2.87-2.89
Dy: 0.1650 0.5000 0.8091  6 Se 2.80-3.04
Ag: 0.2221 0.5000 0.2301  3 Se 2.59-2.61
Se: 0.0217 0.5000 0.7283  3 Dy 2.80-2.87
Se: 0.1476 0.0000 0.5809  1 Ag 2.59, 3 Dy 2.89
Se: 0.1776 0.0000 0.0513  2 Ag 2.61

Output
Uncorrected formation energy (eV per atom): -1.34


Record 6
Here is a relaxed RbDyAgSe3 crystal from Alexandria. Energies are from PBE.

a = 4.1507 Å, b = 15.9601 Å, c = 10.7755 Å
α = 90.00°, β = 90.00°, γ = 90.00°
With the nearest neighbours (Å) after each atom.
Space group Cmcm (No. 63)
Unique sites:
Rb: 0.0000 0.2490 0.2500  8 Se 3.54-3.81
Dy: 0.0000 0.0000 0.0000  6 Se 2.90-2.93
Ag: 0.0000 0.4675 0.7500  4 Se 2.61-2.66
Se: 0.0000 0.0715 0.7500  2 Ag 2.66, 2 Dy 2.93
Se: 0.0000 0.3778 0.5480  1 Ag 2.61, 2 Dy 2.90

Output
Uncorrected formation energy (eV per atom): -1.12


Record 7
Here is a relaxed RbDy3Ag2Te6 crystal from Alexandria. Energies are from PBE.

a = 22.8852 Å, b = 4.5403 Å, c = 9.7773 Å
α = 90.00°, β = 114.81°, γ = 90.00°
With the nearest neighbours (Å) after each atom.
Space group C2/m (No. 12)
Unique sites:
Rb: 0.0000 0.0000 0.0000  6 Te 3.67-3.83
Dy: 0.0000 0.0000 0.5000  6 Te 3.09-3.10
Dy: 0.1637 0.5000 0.5249  6 Te 3.03-3.37, 2 Ag 3.23
Ag: 0.2357 0.5000 0.2778  3 Te 2.73-2.74
Te: 0.0222 0.5000 0.3123  3 Dy 3.03-3.09
Te: 0.1446 0.0000 0.7211  1 Ag 2.73
Te: 0.1740 0.0000 0.3020  2 Ag 2.74

Output
Uncorrected formation energy (eV per atom): -1.03


Record 8
Here is a relaxed Dy2ReAg crystal from Alexandria. Energies are from PBE.

a = 3.4620 Å, b = 3.4620 Å, c = 7.4405 Å
α = 90.00°, β = 90.00°, γ = 90.00°
With the nearest neighbours (Å) after each atom.
Space group P4/mmm (No. 123)
Unique sites:
Dy: 0.0000 0.0000 0.2229  4 Re 2.96, 4 Ag 3.20
Re: 0.5000 0.5000 0.0000  8 Dy 2.96
Ag: 0.5000 0.5000 0.5000  8 Dy 3.20, 4 Ag 3.46


Record 9
Here is a relaxed DyZrReAg crystal from Alexandria. Energies are from PBE.

a = 6.8632 Å, b = 6.8632 Å, c = 6.8632 Å
α = 90.00°, β = 90.00°, γ = 90.00°
With the nearest neighbours (Å) after each atom.
Space group F-43m (No. 216)
Unique sites:
Dy: 0.0000 0.0000 0.0000  4 Re 2.97, 4 Ag 2.97
Zr: 0.0000 0.0000 0.5000  4 Ag 2.97, 4 Re 2.97
Re: 0.2500 0.2500 0.2500  4 Zr 2.97, 4 Dy 2.97
Ag: 0.2500 0.2500 0.7500  4 Zr 2.97, 4 Dy 2.97


Record 10
Here is a relaxed Dy7Ag2Rh2 crystal from Alexandria. Energies are from PBE.

a = 3.7706 Å, b = 15.7135 Å, c = 9.6387 Å
α = 90.00°, β = 90.00°, γ = 90.00°
With the nearest neighbours (Å) after each atom.
Space group Imm2 (No. 44)
Unique sites:
Dy: 0.0000 0.0000 0.0000  3 Ag 3.13-3.19
Dy: 0.0000 0.1239 0.4219  2 Rh 2.82, 3 Ag 3.08-3.13
Dy: 0.0000 0.3164 0.6190  3 Rh 2.87-3.09, 1 Ag 3.19
Dy: 0.0000 0.3574 0.2650  2 Rh 2.86, 2 Ag 3.07
Ag: 0.0000 0.0000 0.6692  7 Dy 3.07-3.19
Ag: 0.0000 0.5000 0.7596  8 Dy 3.13-3.19
Rh: 0.0000 0.2427 0.9166  7 Dy 2.82-3.09


Record 11
Here is a relaxed Dy4Ag2Rh crystal from Alexandria. Energies are from PBE.

a = 5.0244 Å, b = 5.0244 Å, c = 24.4238 Å
α = 90.00°, β = 90.00°, γ = 120.00°
With the nearest neighbours (Å) after each atom.
Space group R-3m (No. 166, hexagonal axes)
Unique sites:
Dy: 0.0000 0.0000 0.1213  1 Rh 2.96, 4 Ag 3.02-3.07
Dy: 0.0000 0.0000 0.3722  3 Rh 3.05, 4 Ag 3.06-3.12
Ag: 0.0000 0.0000 0.2470  8 Dy 3.02-3.12
Rh: 0.0000 0.0000 0.0000  8 Dy 2.96-3.05


Record 12
Here is a relaxed Dy7AgRh4 crystal from Alexandria. Energies are from PBE.

a = 13.5948 Å, b = 5.3897 Å, c = 9.6179 Å
α = 90.00°, β = 125.26°, γ = 90.00°
With the nearest neighbours (Å) after each atom.
Space group C2/m (No. 12)
Unique sites:
Dy: 0.0000 0.0000 0.0000  2 Ag 2.69, 4 Rh 2.75-2.84
Dy: 0.0751 0.5000 0.3645  1 Rh 2.67
Dy: 0.1774 0.0000 0.6271  2 Rh 2.63-2.94
Dy: 0.2106 0.5000 0.8784  4 Rh 2.91-3.13, 1 Dy 3.17
Ag: 0.0000 0.5000 0.0000  2 Dy 2.69
Rh: 0.0672 0.0000 0.7793  3 Dy 2.63-2.91
Rh: 0.2047 0.0000 0.3448  4 Dy 2.67-2.97


Record 13
Here is a relaxed Dy3AgRh2 crystal from Alexandria. Energies are from PBE.

a = 3.4449 Å, b = 3.4449 Å, c = 10.8622 Å
α = 90.00°, β = 90.00°, γ = 90.00°
With the nearest neighbours (Å) after each atom.
Space group P4/mmm (No. 123)
Unique sites:
Dy: 0.0000 0.0000 0.0000  8 Rh 3.00
Dy: 0.0000 0.0000 0.3116  4 Rh 2.93, 4 Ag 3.18
Ag: 0.5000 0.5000 0.5000  8 Dy 3.18, 4 Ag 3.44
Rh: 0.5000 0.5000 0.1617  8 Dy 2.93-3.00


Record 14
Here is a relaxed Dy8Ag2Rh crystal from Alexandria. Energies are from PBE.

a = 17.4175 Å, b = 5.2158 Å, c = 6.8083 Å
α = 90.00°, β = 107.16°, γ = 90.00°
With the nearest neighbours (Å) after each atom.
Space group C2/m (No. 12)
Unique sites:
Dy: 0.0273 0.0000 0.2878  1 Ag 2.91, 2 Rh 3.09
Dy: 0.0898 0.5000 0.9347  1 Rh 2.91
Dy: 0.1594 0.5000 0.4706  1 Rh 2.84, 1 Ag 2.91
Dy: 0.1999 0.0000 0.8097  1 Ag 2.88
Ag: 0.1843 0.0000 0.2195  5 Dy 2.88-3.22
Rh: 0.0000 0.5000 0.5000  8 Dy 2.84-3.09


Record 15
Here is a relaxed Dy5AgRh4 crystal from Alexandria. Energies are from PBE.

a = 3.4401 Å, b = 3.4401 Å, c = 17.6719 Å
α = 90.00°, β = 90.00°, γ = 90.00°
With the nearest neighbours (Å) after each atom.
Space group P4/mmm (No. 123)
Unique sites:
Dy: 0.0000 0.0000 0.0000  8 Rh 2.98
Dy: 0.0000 0.0000 0.1934  8 Rh 2.97-3.00
Dy: 0.0000 0.0000 0.3848  4 Rh 2.93, 4 Ag 3.17
Ag: 0.5000 0.5000 0.5000  8 Dy 3.17, 4 Ag 3.44
Rh: 0.5000 0.5000 0.0969  8 Dy 2.97-2.98
Rh: 0.5000 0.5000 0.2927  8 Dy 2.93-3.00


Record 16
Here is a relaxed Dy3Ag2Rh crystal from Alexandria. Energies are from PBE.

a = 5.0206 Å, b = 5.0206 Å, c = 6.2032 Å
α = 90.00°, β = 90.00°, γ = 120.00°
With the nearest neighbours (Å) after each atom.
Space group P-3m1 (No. 164)
Unique sites:
Dy: 0.0000 0.0000 0.0000  6 Ag 3.05, 2 Rh 3.10
Dy: 0.3333 0.6667 0.6486  3 Rh 3.04, 5 Ag 3.08-3.15
Ag: 0.3333 0.6667 0.1523  8 Dy 3.05-3.15
Rh: 0.0000 0.0000 0.5000  8 Dy 3.04-3.10


Record 17
Here is a relaxed Dy5Ag4Rh crystal from Alexandria. Energies are from PBE.

a = 3.5688 Å, b = 3.5688 Å, c = 18.1982 Å
α = 90.00°, β = 90.00°, γ = 90.00°
With the nearest neighbours (Å) after each atom.
Space group P4/mmm (No. 123)
Unique sites:
Dy: 0.0000 0.0000 0.0000  8 Ag 3.13
Dy: 0.0000 0.0000 0.2051  8 Ag 3.12-3.14
Dy: 0.0000 0.0000 0.4105  4 Rh 3.00, 4 Ag 3.16, 1 Dy 3.26
Ag: 0.5000 0.5000 0.1020  8 Dy 3.13-3.14
Ag: 0.5000 0.5000 0.3058  8 Dy 3.12-3.16
Rh: 0.5000 0.5000 0.5000  8 Dy 3.00


Record 18
Here is a relaxed DyAgRh2 crystal from Alexandria. Energies are from PBE.

a = 4.1920 Å, b = 4.1920 Å, c = 3.9800 Å
α = 90.00°, β = 90.00°, γ = 90.00°
With the nearest neighbours (Å) after each atom.
Space group P4/mmm (No. 123)
Unique sites:
Dy: 0.0000 0.0000 0.0000  8 Rh 2.89, 4 Ag 2.96
Ag: 0.5000 0.5000 0.0000  8 Rh 2.89, 4 Dy 2.96
Rh: 0.0000 0.5000 0.5000  4 Dy 2.89, 4 Ag 2.89, 4 Rh 2.96


Record 19
Here is a relaxed Dy7Ag2Rh2 crystal from Alexandria. Energies are from PBE.

a = 7.8671 Å, b = 10.8407 Å, c = 7.0833 Å
α = 90.00°, β = 90.00°, γ = 90.00°
With the nearest neighbours (Å) after each atom.
Space group Cmmm (No. 65)
Unique sites:
Dy: 0.0000 0.0000 0.0000  2 Rh 3.14
Dy: 0.0000 0.5000 0.2494  2 Rh 2.89, 2 Ag 3.08
Dy: 0.2500 0.2500 0.2559  2 Rh 2.71
Ag: 0.1801 0.0000 0.5000  1 Ag 2.83, 2 Dy 3.08
Rh: 0.0000 0.2895 0.0000  6 Dy 2.71-2.89


Record 20
Here is a relaxed Dy6AgRh5 crystal from Alexandria. Energies are from PBE.

a = 8.4613 Å, b = 14.6819 Å, c = 4.8908 Å
α = 90.00°, β = 125.26°, γ = 90.00°
With the nearest neighbours (Å) after each atom.
Space group C2/m (No. 12)
Unique sites:
Dy: 0.2409 0.0000 0.2406  6 Rh 2.95-3.02, 2 Ag 3.03
Dy: 0.2459 0.1703 0.7458  7 Rh 2.95-3.02, 1 Ag 3.06
Ag: 0.0000 0.5000 0.0000  8 Dy 3.03-3.06
Rh: 0.0000 0.0000 0.5000  8 Dy 2.96-3.02
Rh: 0.0000 0.1661 0.0000  8 Dy 2.95-2.98
Rh: 0.0000 0.3345 0.5000  8 Dy 2.95-3.02


Record 21
Here is a relaxed Dy4AgRh3 crystal from Alexandria. Energies are from PBE.

a = 4.8657 Å, b = 4.8657 Å, c = 7.0850 Å
α = 90.00°, β = 90.00°, γ = 90.00°
With the nearest neighbours (Å) after each atom.
Space group P4/mmm (No. 123)
Unique sites:
Dy: 0.0000 0.5000 0.2403  6 Rh 2.97-3.05, 2 Ag 3.05
Ag: 0.0000 0.0000 0.5000  8 Dy 3.05
Rh: 0.0000 0.0000 0.0000  8 Dy 2.97
Rh: 0.5000 0.5000 0.0000  8 Dy 2.97
Rh: 0.5000 0.5000 0.5000  8 Dy 3.05


Record 22
Here is a relaxed Dy2AgRh2 crystal from Alexandria. Energies are from PBE.

a = 7.3749 Å, b = 7.3749 Å, c = 3.7813 Å
α = 90.00°, β = 90.00°, γ = 90.00°
With the nearest neighbours (Å) after each atom.
Space group P4/mbm (No. 127)
Unique sites:
Dy: 0.1689 0.3311 0.0000  6 Rh 2.80-2.93
Ag: 0.0000 0.0000 0.5000  4 Rh 2.88
Rh: 0.1333 0.6333 0.5000  1 Rh 2.78, 6 Dy 2.80-2.93, 2 Ag 2.88


For reference, uncorrected energy by record: -5.268 -4.127 -4.380 -4.832 -4.787 -4.266 -4.310 -6.202 -7.163 -5.226 -4.826 -5.856 -5.923 -4.791 -6.295 -4.975 -4.607 -5.963 -5.113 -6.381 -6.138 -6.022 eV/atom.